# 1
# CsCd2Sb2

A relaxed CsCd2Sb2 crystal (PBE, the Alexandria database).

```
CsCd2Sb2
1.0
6.878 0.000 0.000
3.343 7.326 0.000
1.650 3.661 7.035
Cs Cd Sb
2 4 4
direct
0.250 0.101 0.300 Cs
0.750 0.899 0.700 Cs
0.246 0.536 0.431 Cd
0.249 0.756 0.987 Cd
0.751 0.244 0.013 Cd
0.754 0.464 0.569 Cd
0.157 0.200 0.786 Sb
0.347 0.519 0.781 Sb
0.653 0.481 0.219 Sb
0.843 0.800 0.214 Sb
```

Output
Its crystal system is triclinic. The total magnetization is 0.000 μB/atom.

=====

# 2
# CsCd3Sb

A relaxed CsCd3Sb crystal (PBE, the Alexandria database).

```
CsCd3Sb
1.0
6.983 0.000 0.000
0.000 6.983 0.000
0.000 0.000 6.983
Cs Cd Sb
1 3 1
direct
0.000 0.000 0.000 Cs
0.000 0.000 0.500 Cd
0.000 0.500 0.000 Cd
0.500 0.000 0.000 Cd
0.500 0.500 0.500 Sb
```

Output
Its crystal system is cubic. The total magnetization is 0.400 μB/atom.

=====

# 3
# Cs3Cd4Sb4

A relaxed Cs3Cd4Sb4 crystal (PBE, the Alexandria database).

```
Cs3Cd4Sb4
1.0
-4.670 4.670 4.670
4.670 -4.670 4.670
4.670 4.670 -4.670
Cs Cd Sb
3 4 4
direct
0.000 0.500 0.500 Cs
0.500 0.000 0.500 Cs
0.500 0.500 0.000 Cs
0.000 0.000 0.697 Cd
0.000 0.697 0.000 Cd
0.303 0.303 0.303 Cd
0.697 0.000 0.000 Cd
0.000 0.000 0.334 Sb
0.000 0.334 0.000 Sb
0.334 0.000 0.000 Sb
0.666 0.666 0.666 Sb
```

Output
Its crystal system is cubic. The total magnetization is 0.000 μB/atom.

=====

# 4
# Cs2CdSb

A relaxed Cs2CdSb crystal (PBE, the Alexandria database).

```
Cs2CdSb
1.0
-2.785 2.785 12.627
2.785 -2.785 12.627
2.785 2.785 -12.627
Cs Cd Sb
4 2 2
direct
0.118 0.625 0.993 Cs
0.375 0.368 0.493 Cs
0.632 0.125 0.007 Cs
0.875 0.882 0.507 Cs
0.000 0.000 0.000 Cd
0.750 0.250 0.500 Cd
0.250 0.750 0.500 Sb
0.500 0.500 0.000 Sb
```

Output
Its crystal system is tetragonal. The total magnetization is 0.000 μB/atom.

=====

# 5
# CsCd6Sb4

A relaxed CsCd6Sb4 crystal (PBE, the Alexandria database).

```
CsCd6Sb4
1.0
-2.511 2.511 14.207
2.511 -2.511 14.207
2.511 2.511 -14.207
Cs Cd Sb
1 6 4
direct
0.000 0.000 0.000 Cs
0.130 0.630 0.500 Cd
0.250 0.750 0.500 Cd
0.370 0.870 0.500 Cd
0.630 0.130 0.500 Cd
0.750 0.250 0.500 Cd
0.870 0.370 0.500 Cd
0.194 0.194 0.000 Sb
0.423 0.423 0.000 Sb
0.577 0.577 0.000 Sb
0.806 0.806 0.000 Sb
```

Output
Its crystal system is tetragonal. The total magnetization is 0.000 μB/atom.

=====

# 6
# Cs2Cd2Sb

A relaxed Cs2Cd2Sb crystal (PBE, the Alexandria database).

```
Cs2Cd2Sb
1.0
-2.078 2.078 12.538
2.078 -2.078 12.538
2.078 2.078 -12.538
Cs Cd Sb
2 2 1
direct
0.101 0.101 0.000 Cs
0.899 0.899 0.000 Cs
0.250 0.750 0.500 Cd
0.750 0.250 0.500 Cd
0.500 0.500 0.000 Sb
```

Output
Its crystal system is tetragonal. The total magnetization is 0.000 μB/atom.

=====

# 7
# Cs2CdSb

A relaxed Cs2CdSb crystal (PBE, the Alexandria database).

```
Cs2CdSb
1.0
5.780 0.000 0.000
-0.008 6.464 0.000
-2.866 -3.233 5.841
Cs Cd Sb
2 1 1
direct
0.000 0.000 0.000 Cs
0.362 0.358 0.717 Cs
0.865 0.679 0.359 Cd
0.365 0.679 0.358 Sb
```

Output
Its crystal system is triclinic. The total magnetization is 0.000 μB/atom.

=====

# 8
# Cs2CdSb

A relaxed Cs2CdSb crystal (PBE, the Alexandria database).

```
Cs2CdSb
1.0
0.000 4.532 4.532
4.532 0.000 4.532
4.532 4.532 0.000
Cs Cd Sb
2 1 1
direct
0.250 0.250 0.250 Cs
0.750 0.750 0.750 Cs
0.000 0.000 0.000 Cd
0.500 0.500 0.500 Sb
```

Output
Its crystal system is cubic. The total magnetization is 0.250 μB/atom.

=====

# 9
# CsCd2Sb

A relaxed CsCd2Sb crystal (PBE, the Alexandria database).

```
CsCd2Sb
1.0
-4.722 4.722 3.875
4.722 -4.722 3.875
4.722 4.722 -3.875
Cs Cd Sb
2 4 2
direct
0.000 0.000 0.000 Cs
0.750 0.250 0.500 Cs
0.224 0.125 0.599 Cd
0.375 0.776 0.901 Cd
0.526 0.625 0.401 Cd
0.875 0.474 0.099 Cd
0.250 0.750 0.500 Sb
0.500 0.500 0.000 Sb
```

Output
Its crystal system is tetragonal. The total magnetization is 0.000 μB/atom.

=====

# 10
# CsCd3Sb2

A relaxed CsCd3Sb2 crystal (PBE, the Alexandria database).

```
CsCd3Sb2
1.0
4.950 0.000 0.000
-1.306 9.323 0.000
-1.557 -4.680 9.176
Cs Cd Sb
2 6 4
direct
0.198 0.274 0.039 Cs
0.802 0.726 0.961 Cs
0.051 0.139 0.405 Cd
0.315 0.596 0.549 Cd
0.453 0.792 0.333 Cd
0.547 0.208 0.667 Cd
0.685 0.404 0.451 Cd
0.949 0.861 0.595 Cd
0.097 0.390 0.700 Sb
0.472 0.045 0.245 Sb
0.528 0.955 0.755 Sb
0.903 0.610 0.300 Sb
```

Output
Its crystal system is triclinic. The total magnetization is 0.000 μB/atom.

=====

# 11
# Cs2CdSb2

A relaxed Cs2CdSb2 crystal (PBE, the Alexandria database).

```
Cs2CdSb2
1.0
7.254 -2.616 0.000
7.254 2.616 0.000
-5.164 0.000 11.740
Cs Cd Sb
4 2 4
direct
0.123 0.123 0.416 Cs
0.283 0.283 0.845 Cs
0.717 0.717 0.155 Cs
0.877 0.877 0.584 Cs
0.458 0.458 0.193 Cd
0.542 0.542 0.807 Cd
0.043 0.043 0.915 Sb
0.412 0.412 0.393 Sb
0.588 0.588 0.607 Sb
0.957 0.957 0.085 Sb
```

Output
Its crystal system is monoclinic. The total magnetization is 0.000 μB/atom.

=====

# 12
# Cs2Cd2Sb

A relaxed Cs2Cd2Sb crystal (PBE, the Alexandria database).

```
Cs2Cd2Sb
1.0
8.096 0.000 0.000
0.000 8.096 0.000
0.000 0.000 6.096
Cs Cd Sb
4 4 2
direct
0.187 0.313 0.000 Cs
0.313 0.813 0.000 Cs
0.687 0.187 0.000 Cs
0.813 0.687 0.000 Cs
0.129 0.629 0.500 Cd
0.371 0.129 0.500 Cd
0.629 0.871 0.500 Cd
0.871 0.371 0.500 Cd
0.000 0.000 0.500 Sb
0.500 0.500 0.500 Sb
```

Output
Its crystal system is tetragonal. The total magnetization is 0.000 μB/atom.

=====

Q: Which formation energy without anion corrections values were calculated for the entries above? A: -0.22, 0.83, -0.33, 0.13, -0.13, -0.07, -0.29, -0.10, -0.01, -0.21, -0.34, -0.14, in eV/atom.